Below is a relaxed structure of MnCuS2O, with properties calculated at the GGA+U level.

For the total DFT energy (no corrections), the calculation gives -21.45 eV/cell. The calculation puts the density of states at the Fermi level at 2.47 states/eV/cell.

Cell: 4.265 5.391 4.265 Å, 90.00 90.00 90.00°
Sites, in units of the cell vectors:
S (0.000, 0.000, 0.500)
S (0.500, 0.000, 0.000)
Mn (0.000, 0.500, 0.000)
O (0.500, 0.500, 0.500)
Cu (0.000, 0.000, 0.000)